Entry from Alexandria via LeMat-Bulk: a geometry-optimized ZrSc2HgN structure (GGA-PBE).

Unit cell a=4.447 b=4.447 c=4.507 alpha=90.00 beta=90.00 gamma=90.00
Fractional coordinates of all 5 atoms:
Zr 0.000 0.000 0.000
Sc 0.000 0.500 0.500
Sc 0.500 0.000 0.500
Hg 0.500 0.500 0.000
N 0.000 0.000 0.500

D(E_F) = 0.3593 states/eV/atom
Formation energy from raw total energies = -1012 meV/atom
Space group = P4/mmm (123)